(1)
Rb2HgAu | PBE | optimized geometry

Cell: 4.2739 4.2739 8.7284 Å, 90.00 90.00 90.00°
Last column: nearest neighbours and their distance in Å.
Fractional coordinates of all 4 atoms:
Rb 0.0000 0.0000 0.2258  4 Au 3.61, 4 Hg 3.86, 1 Rb 3.94
Rb 0.0000 0.0000 0.7742  4 Au 3.61, 4 Hg 3.86, 1 Rb 3.94
Hg 0.5000 0.5000 0.5000  8 Rb 3.86, 4 Hg 4.27
Au 0.5000 0.5000 0.0000  8 Rb 3.61

Summary:
As for the space group: P4/mmm, No. 123.

=====

(2)
RbHg2Au2 | PBE | optimized geometry

Cell: 6.5169 6.5169 6.5169 Å, 133.12 133.12 68.47°
Last column: nearest neighbours and their distance in Å.
Fractional coordinates of all 5 atoms:
Rb 0.0000 0.0000 0.0000  8 Au 3.74, 10 Hg 3.93-3.95
Hg 0.3644 0.3644 0.0000  4 Au 2.87, 1 Hg 2.92
Hg 0.6356 0.6356 0.0000  4 Au 2.87, 1 Hg 2.92
Au 0.2500 0.7500 0.5000  4 Hg 2.87
Au 0.7500 0.2500 0.5000  4 Hg 2.87

Summary:
As for the space group: I4/mmm, No. 139.

=====

Number 1: magnetic moment 0.00 μB/f.u., electronic total energy -1.63 eV per atom, formation enthalpy at 0 K -0.25 eV per atom. Number 2: magnetic moment 0.00 μB/f.u., electronic total energy -1.77 eV per atom, formation enthalpy at 0 K -0.15 eV per atom.